No. 1
GGA-PBE YTm8Cd6, optimized geometry; ΔH_f (0 K) = -0.056 eV/atom; symmetry = R-3; DOS at the Fermi energy = 16.7 states/eV/f.u.
1.0
4.4380 2.5623 6.3140
-4.4380 2.5623 6.3140
0.0000 -5.1246 6.3140
Y Tm Cd
1 8 6
direct
0.0000 0.0000 0.0000
0.1153 0.4503 0.7818
0.2182 0.8847 0.5497
0.3337 0.3337 0.3337
0.4503 0.7818 0.1153
0.5497 0.2182 0.8847
0.6663 0.6663 0.6663
0.7818 0.1153 0.4503
0.8847 0.5497 0.2182
0.0531 0.7180 0.3880
0.2820 0.6120 0.9469
0.3880 0.0531 0.7180
0.6120 0.9469 0.2820
0.7180 0.3880 0.0531
0.9469 0.2820 0.6120

=====

No. 2
GGA-PBE MoH3N, optimized geometry; symmetry = Pm-3m; DOS at the Fermi energy = 1.0 states/eV/f.u.; relative energy among the computed polymorphs = 0.000 eV/f.u.
1.0
3.1441 0.0000 0.0000
0.0000 3.1441 0.0000
0.0000 0.0000 3.1441
Mo H N
1 3 1
direct
0.0000 0.0000 0.0000
0.0000 0.5000 0.5000
0.5000 0.0000 0.5000
0.5000 0.5000 0.0000
0.5000 0.5000 0.5000

=====

No. 3
GGA-PBE GdScRu, optimized geometry; ΔH_f (0 K) = -0.263 eV/atom; symmetry = F-43m; DOS at the Fermi energy = 1.7 states/eV/f.u.
1.0
0.0000 3.2922 3.2922
3.2922 0.0000 3.2922
3.2922 3.2922 0.0000
Gd Sc Ru
1 1 1
direct
0.0000 0.0000 0.0000
0.5000 0.5000 0.5000
0.7500 0.7500 0.7500